1.
VASP calculation (PBE-GGA) on a relaxed structure of Y4Be.

The calculation puts the energy above the most stable polymorph in this dataset at 187 meV/atom. Its total magnetic moment is 0.000 μB/atom. Its density of states at the Fermi level is 6.04 states/eV/cell. As for the volume: 30.23 Å³/atom. The value obtained for the formation energy is 23 kJ per mole of atoms.

abc: 5.3271 5.3271 5.3271
angles: 90.00 90.00 90.00
Fractional coordinates of all 5 atoms:
Y  0.0000  0.0000  0.0000
Y  0.0000  0.5000  0.5000
Y  0.5000  0.0000  0.5000
Y  0.5000  0.5000  0.0000
Be  0.5000  0.5000  0.5000

2.
VASP calculation (PBE-GGA) on a relaxed structure of LaTlFe2.

The calculation puts the energy above the most stable polymorph in this dataset at 553 meV/atom. Its total magnetic moment is 1.126 μB/atom. Its density of states at the Fermi level is 11.32 states/eV/cell. As for the volume: 22.74 Å³/atom. The value obtained for the formation energy is 70 kJ per mole of atoms.

abc: 6.2467 6.2467 6.2467
angles: 104.07 104.07 120.91
Fractional coordinates of all 8 atoms:
La  0.0000  0.0000  0.0000
La  0.7500  0.2500  0.5000
Tl  0.2500  0.7500  0.5000
Tl  0.5000  0.5000  0.0000
Fe  0.1472  0.6250  0.0222
Fe  0.3750  0.3972  0.5222
Fe  0.6028  0.1250  0.9778
Fe  0.8750  0.8528  0.4778

3.
VASP calculation (PBE-GGA) on a relaxed structure of PuHfHg2.

The calculation puts the energy above the most stable polymorph in this dataset at 101 meV/atom. Its total magnetic moment is 1.708 μB/atom. Its density of states at the Fermi level is 9.23 states/eV/cell. As for the volume: 23.90 Å³/atom. The value obtained for the formation energy is 4 kJ per mole of atoms.

abc: 5.1328 5.1328 5.1328
angles: 60.00 60.00 60.00
Fractional coordinates of all 4 atoms:
Pu  0.0000  0.0000  0.0000
Hf  0.5000  0.5000  0.5000
Hg  0.2500  0.2500  0.2500
Hg  0.7500  0.7500  0.7500

4.
VASP calculation (PBE-GGA) on a relaxed structure of YSc2BrF.

Its total magnetic moment is 0.231 μB/atom. The value obtained for the formation energy (no corrections) is -1.90 eV/f.u. Its density of states at the Fermi level is 4.57 states/eV/cell. As for the volume: 31.81 Å³/atom.

abc: 6.1356 6.1356 4.2250
angles: 90.00 90.00 90.00
Fractional coordinates of all 5 atoms:
Y  0.0000  0.0000  0.0000
Sc  0.0000  0.5000  0.0000
Sc  0.5000  0.0000  0.0000
Br  0.5000  0.5000  0.5000
F  0.0000  0.0000  0.5000

5.
VASP calculation (PBE-GGA) on a relaxed structure of LiTiBr6.

Its total magnetic moment is 0.002 μB/atom. The value obtained for the formation energy (no corrections) is -7.68 eV/f.u. Its density of states at the Fermi level is 13.82 states/eV/cell. As for the volume: 28.12 Å³/atom.

abc: 6.6688 6.6726 6.9683
angles: 90.02 118.26 119.96
Fractional coordinates of all 8 atoms:
Li  0.0000  0.0000  0.0000
Ti  0.0000  0.5000  0.5000
Br  0.1512  0.4272  0.2536
Br  0.1699  0.2734  0.7423
Br  0.4686  0.8945  0.7436
Br  0.5314  0.1055  0.2564
Br  0.8301  0.7266  0.2577
Br  0.8488  0.5728  0.7464

6.
VASP calculation (PBE-GGA) on a relaxed structure of PmTh2Ga.

The calculation puts the energy above the most stable polymorph in this dataset at 282 meV/atom. Its total magnetic moment is 0.000 μB/atom. Its density of states at the Fermi level is 5.64 states/eV/cell. As for the volume: 29.83 Å³/atom. The value obtained for the formation energy is 11 kJ per mole of atoms.

abc: 11.9747 11.9747 11.9747
angles: 16.40 16.40 16.40
Fractional coordinates of all 4 atoms:
Pm  0.0000  0.0000  0.0000
Th  0.0959  0.0959  0.0959
Th  0.9041  0.9041  0.9041
Ga  0.5000  0.5000  0.5000